# TbAlCo4 (PBEsol, optimized geometry)
data_TbAlCo4
_space_group_name_H-M_alt 'C m m m'
_space_group_IT_number 65
_space_group_name_Hall '-C 2 2'
_cell_length_a 4.8314
_cell_length_b 8.5802
_cell_length_c 3.9523
_cell_angle_alpha 90.00
_cell_angle_beta 90.00
_cell_angle_gamma 90.00
loop_
_atom_site_label
_atom_site_type_symbol
_atom_site_fract_x
_atom_site_fract_y
_atom_site_fract_z
_atom_site_occupancy
Tb1 Tb 0.0000 0.0000 0.0000 1
Al1 Al 0.0000 0.5000 0.5000 1
Co1 Co 0.0000 0.3130 0.0000 1
Co2 Co 0.2500 0.2500 0.5000 1
# Energy relative to the elements   -0.24 eV/atom


# AlCo2Tc (PBEsol, optimized geometry)
data_AlCo2Tc
_space_group_name_H-M_alt 'P 4/m m m'
_space_group_IT_number 123
_space_group_name_Hall '-P 4 2'
_cell_length_a 2.6356
_cell_length_b 2.6356
_cell_length_c 6.6705
_cell_angle_alpha 90.00
_cell_angle_beta 90.00
_cell_angle_gamma 90.00
loop_
_atom_site_label
_atom_site_type_symbol
_atom_site_fract_x
_atom_site_fract_y
_atom_site_fract_z
_atom_site_occupancy
Al1 Al 0.0000 0.0000 0.0000 1
Co1 Co 0.5000 0.5000 0.2415 1
Tc1 Tc 0.0000 0.0000 0.5000 1
# Energy relative to the elements   -0.28 eV/atom


# AlCo2Tc (PBEsol, optimized geometry)
data_AlCo2Tc
_space_group_name_H-M_alt 'I -4 2 d'
_space_group_IT_number 122
_space_group_name_Hall 'I -4 2bw'
_cell_length_a 3.5407
_cell_length_b 3.5407
_cell_length_c 16.4291
_cell_angle_alpha 90.00
_cell_angle_beta 90.00
_cell_angle_gamma 90.00
loop_
_atom_site_label
_atom_site_type_symbol
_atom_site_fract_x
_atom_site_fract_y
_atom_site_fract_z
_atom_site_occupancy
Al1 Al 0.0000 0.0000 0.0000 1
Co1 Co 0.2431 0.2500 0.1250 1
Tc1 Tc 0.0000 0.0000 0.5000 1
# Energy relative to the elements   0.41 eV/atom